Compound: PrDy5Tm4
Source: the Alexandria database
Functional: GGA-PBE
Structure: optimized geometry

Calculated values
ΔE to the lowest computed polymorph in kcal/mol of atoms: 5.62
VASP energy in eV per atom: -4.2582

CIF file:
```
data_PrDy5Tm4
_symmetry_space_group_name_H-M 'I 4'
_symmetry_Int_Tables_number 79
_cell_length_a 10.1260
_cell_length_b 10.1260
_cell_length_c 6.3059
_cell_angle_alpha 90.00
_cell_angle_beta 90.00
_cell_angle_gamma 90.00
loop_
_symmetry_equiv_pos_as_xyz
'x,y,z'
'-y,x,z'
'-x,-y,z'
'y,-x,z'
'x+1/2,y+1/2,z+1/2'
'-y+1/2,x+1/2,z+1/2'
'-x+1/2,-y+1/2,z+1/2'
'y+1/2,-x+1/2,z+1/2'
loop_
_atom_site_label
_atom_site_type_symbol
_atom_site_fract_x
_atom_site_fract_y
_atom_site_fract_z
Pr1 Pr 0.0000 0.0000 0.0000
Dy1 Dy 0.0000 0.0000 0.4555
Dy2 Dy 0.1437 0.7644 0.7271
Tm1 Tm 0.0517 0.6503 0.2308
```